Entry 1:
12
Lattice="8.073 -0.013 -0.031 -4.045 6.986 -0.031 -1.372 -2.376 7.613" Properties=species:S:1:pos:R:3 comment="Cs2Tl3AgCl6 (PBE, relaxed)" n_ef_per_ev_cell=0.0 e_form_raw_mev_per_atom=-1209 crystal_system=monoclinic sg=C2/m pbc="T T T"
Tl -2.808 4.687 3.775
Cl 2.177 -0.047 1.716
Cl -0.070 -0.121 5.465
Cl 3.783 2.735 5.835
Tl 1.328 2.299 3.775
Cs 4.021 2.327 -0.031
Cs 0.006 4.646 -0.031
Cl 2.725 4.719 2.086
Ag 0.000 0.000 0.000
Tl 5.464 -0.090 3.775
Cl -1.128 1.863 1.716
Cl 0.478 4.644 5.835

Entry 2:
8
Lattice="-1.603 3.258 1.818 -2.844 -2.348 1.700 8.318 -2.074 11.051" Properties=species:S:1:pos:R:3 comment="CsHgPRh (PBE, relaxed)" n_ef_per_ev_cell=4.2 crystal_system=tetragonal sg=P4/nmm pbc="T T T"
Hg 1.625 -1.983 7.255
Rh -2.534 -0.946 1.729
Hg 2.246 0.820 7.314
Cs -1.326 0.182 5.307
Cs 5.197 -1.346 9.262
P 4.257 -1.210 12.725
Rh -1.913 1.857 1.788
P -0.386 0.047 1.844

Entry 3:
18
Lattice="5.357 0.000 0.000 -2.678 4.639 0.000 0.000 0.000 9.992" Properties=species:S:1:pos:R:3 comment="NpGaHgO6 (PBE, relaxed)" e_form_raw_mev_per_atom=-1705 crystal_system=trigonal sg=P-31c pbc="T T T"
Hg 0.000 0.000 0.000
O 0.984 1.676 3.584
O 0.735 4.625 8.580
O 1.944 0.014 1.412
O -1.695 2.963 8.580
Np 0.000 3.093 2.498
O -0.960 1.690 6.408
O 1.695 2.963 6.408
O 4.373 1.676 1.412
Ga 2.678 1.546 2.498
O 0.960 1.690 8.580
O -0.735 4.625 6.408
Np 2.678 1.546 7.494
O 1.719 2.949 1.412
Hg 0.000 0.000 4.996
Ga 0.000 3.093 7.494
O 3.638 2.949 3.584
O 3.413 0.014 3.584

Entry 4:
4
Lattice="2.928 0.013 0.000 -1.247 2.649 0.000 0.000 0.000 13.240" Properties=species:S:1:pos:R:3 comment="K2ZrW (PBE, relaxed)" n_ef_per_ev_cell=4.5 crystal_system=orthorhombic sg=Cmmm polymorph_energy_ev_per_fu=1.89 pbc="T T T"
Zr 0.840 1.331 9.930
W 0.840 1.331 3.310
K 0.000 0.000 0.226
K 0.000 0.000 6.394

no.,mass density (g cm⁻³),uncorrected energy (eV per atom)
1,4.66,-3.104
2,6.73,-3.986
3,8.07,-6.818
4,5.70,-4.611